*a*
{
  "formula": "La4NdY5",
  "functional": "PBE",
  "state": "relaxed",
  "lattice_angstrom": [[5.9639, 0.0000, 0.0000], [0.0000, 10.7522, 0.0000], [0.0000, 0.0000, 10.7611]],
  "species": ["Y", "Y", "Y", "Y", "Y", "Y", "Y", "Y", "Y", "Y", "La", "La", "La", "La", "La", "La", "La", "La", "Nd", "Nd"],
  "frac_coords": [[0.8437, 0.6610, 0.3391], [0.1563, 0.8390, 0.8391], [0.0005, 0.5000, 0.0000], [0.1563, 0.1610, 0.8391], [0.8437, 0.6610, 0.6609], [0.8437, 0.3390, 0.6609], [0.1563, 0.1610, 0.1609], [0.8437, 0.3390, 0.3391], [0.1563, 0.8390, 0.1609], [0.9995, 0.0000, 0.5000], [0.3717, 0.2050, 0.5000], [0.6283, 0.2950, 0.0000], [0.6283, 0.7050, 0.0000], [0.3717, 0.7950, 0.5000], [0.6282, 0.0000, 0.2946], [0.3718, 0.5000, 0.7946], [0.6282, 0.0000, 0.7054], [0.3718, 0.5000, 0.2054], [0.3860, 0.5000, 0.5000], [0.6140, 0.0000, 0.0000]],
  "volume_a3_per_cell": 690.1,
  "space_group": "P4/nmm (129)"
}

***

*b*
{
  "formula": "La4NdY5",
  "functional": "PBE",
  "state": "relaxed",
  "lattice_angstrom": [[3.5014, -0.0004, -0.7080], [-0.0883, 11.4694, -0.4260], [-0.0071, 0.2971, 8.8990]],
  "species": ["La", "La", "La", "La", "Y", "Y", "Y", "Y", "Y", "Nd"],
  "frac_coords": [[0.3529, 0.7505, 0.6835], [0.0355, 0.7491, 0.0632], [0.9645, 0.2509, 0.9368], [0.6471, 0.2495, 0.3165], [0.1716, 0.9434, 0.3496], [0.8284, 0.0566, 0.6504], [0.8297, 0.4476, 0.6533], [0.1703, 0.5524, 0.3467], [0.5000, 0.5000, 0.0000], [0.5000, 0.0000, 0.0000]],
  "volume_a3_per_cell": 357.8,
  "space_group": "P-1 (2)"
}

***

Which one is most stable, and which one is least stable? *a* is the most stable of them, while *b* is the least stable.

***

*a*
{
  "formula": "LaNd2Y3",
  "functional": "PBE",
  "state": "relaxed",
  "lattice_angstrom": [[9.0936, 0.2735, 0.6587], [0.6864, 6.7310, 0.1690], [0.4419, -0.8664, 6.6978]],
  "species": ["Nd", "Nd", "Nd", "Nd", "Y", "Y", "Y", "Y", "Y", "Y", "La", "La"],
  "frac_coords": [[0.8738, 0.3767, 0.8687], [0.6262, 0.1313, 0.6233], [0.3738, 0.8687, 0.3767], [0.1262, 0.6233, 0.1313], [0.0008, 0.1648, 0.3327], [0.4992, 0.6673, 0.8352], [0.7500, 0.5806, 0.4194], [0.5008, 0.3327, 0.1648], [0.2500, 0.4194, 0.5806], [0.9992, 0.8352, 0.6673], [0.2500, 0.0864, 0.9136], [0.7500, 0.9136, 0.0864]],
  "volume_a3_per_cell": 407.7,
  "space_group": "C2/c (15)"
}

***

*b*
{
  "formula": "LaNd2Y3",
  "functional": "PBE",
  "state": "relaxed",
  "lattice_angstrom": [[-3.4236, 0.1788, 0.2081], [0.1580, -3.5838, 5.6795], [1.3690, 15.1421, 9.5166]],
  "species": ["Y", "Y", "Y", "Y", "Y", "Y", "Nd", "Nd", "Nd", "Nd", "La", "La"],
  "frac_coords": [[0.5000, 0.5000, 0.5000], [0.0000, 0.7683, 0.3193], [0.5000, 0.2683, 0.1807], [0.5000, 0.7317, 0.8193], [0.0000, 0.0000, 0.0000], [0.0000, 0.2317, 0.6807], [0.5000, 0.7730, 0.1506], [0.0000, 0.7270, 0.6506], [0.0000, 0.2730, 0.3494], [0.5000, 0.2270, 0.8494], [0.5000, 0.5000, 0.0000], [0.0000, 0.0000, 0.5000]],
  "volume_a3_per_cell": 413.8,
  "space_group": "Pnnm (58)"
}

***

Which one is most stable, and which one is least stable? *a* is the most stable of them, while *b* is the least stable.

***

*a*
{
  "formula": "La6Nd2Zn",
  "functional": "PBE",
  "state": "relaxed",
  "lattice_angstrom": [[-5.0456, 0.7315, -2.1910], [-0.2549, -10.1910, -2.8156], [-4.3992, -2.4622, 9.3090]],
  "species": ["La", "La", "La", "La", "La", "La", "La", "La", "La", "La", "La", "La", "Nd", "Nd", "Nd", "Nd", "Zn", "Zn"],
  "frac_coords": [[0.0000, 0.3091, 0.4575], [0.4999, 0.4585, 0.6914], [0.9999, 0.0414, 0.1914], [0.5000, 0.1909, 0.9576], [0.0000, 0.6909, 0.5425], [0.0000, 0.6217, 0.8792], [0.5000, 0.8091, 0.0424], [0.0000, 0.3783, 0.1208], [0.5000, 0.8783, 0.3791], [0.0001, 0.9586, 0.8086], [0.5001, 0.5415, 0.3086], [0.5000, 0.1217, 0.6209], [0.5000, 0.7799, 0.7211], [0.5000, 0.2201, 0.2789], [0.0000, 0.7201, 0.2210], [0.0000, 0.2799, 0.7790], [0.5000, 0.5000, 0.0000], [0.0000, 0.0000, 0.5000]],
  "volume_a3_per_cell": 621.3,
  "space_group": "Pnnm (58)"
}

***

*b*
{
  "formula": "La6Nd2Zn",
  "functional": "PBE",
  "state": "relaxed",
  "lattice_angstrom": [[-3.2311, -0.8512, -1.7522], [-1.9541, -6.6898, 6.8533], [-3.0484, 9.2074, 1.1483]],
  "species": ["Nd", "Nd", "La", "La", "La", "La", "La", "La", "Zn"],
  "frac_coords": [[0.0000, 0.3329, 0.6660], [0.0000, 0.6669, 0.3340], [0.0000, 0.9995, 0.2623], [0.0000, 0.7372, 0.7377], [0.0000, 0.2633, 0.0000], [0.5000, 0.3756, 0.3754], [0.5000, 0.0002, 0.6246], [0.5000, 0.6237, 0.0000], [0.5000, 0.0006, 0.0000]],
  "volume_a3_per_cell": 311.8,
  "space_group": "Amm2 (38)"
}

***

Which one is most stable, and which one is least stable? *b* is the most stable of them, while *a* is the least stable.

***

*a*
{
  "formula": "La8Nd2Zn",
  "functional": "PBE",
  "state": "relaxed",
  "lattice_angstrom": [[-1.3228, 3.7576, -4.6405], [-9.9761, -0.4846, -2.9364], [-9.0748, 4.9556, 1.2118]],
  "species": ["La", "La", "La", "La", "La", "La", "La", "La", "Zn", "Nd", "Nd"],
  "frac_coords": [[0.6788, 0.9156, 0.9156], [0.2081, 0.5374, 0.5374], [0.3212, 0.0844, 0.0844], [0.3274, 0.6007, 0.1038], [0.7919, 0.4626, 0.4626], [0.3274, 0.1038, 0.6007], [0.6726, 0.8962, 0.3993], [0.6726, 0.3993, 0.8962], [0.0000, 0.0000, 0.0000], [0.9258, 0.2745, 0.2745], [0.0742, 0.7255, 0.7255]],
  "volume_a3_per_cell": 376.9,
  "space_group": "C2/m (12)"
}

***

*b*
{
  "formula": "La8Nd2Zn",
  "functional": "PBE",
  "state": "relaxed",
  "lattice_angstrom": [[5.6032, 0.0000, -1.6085], [-0.1093, 6.6116, -0.3807], [-0.0515, -0.0546, 10.3841]],
  "species": ["La", "La", "La", "La", "La", "La", "La", "La", "Nd", "Nd", "Zn"],
  "frac_coords": [[0.6552, 0.1241, 0.3105], [0.0375, 0.2497, 0.0750], [0.1544, 0.7974, 0.3089], [0.4207, 0.3888, 0.8414], [0.8456, 0.2026, 0.6911], [0.5793, 0.6112, 0.1586], [0.9625, 0.7503, 0.9250], [0.3448, 0.8759, 0.6895], [0.2367, 0.3304, 0.4733], [0.7633, 0.6696, 0.5267], [0.5000, 0.0000, 0.0000]],
  "volume_a3_per_cell": 384.0,
  "space_group": "C2/m (12)"
}

***

Which one is most stable, and which one is least stable? *b* is the most stable of them, while *a* is the least stable.

***

*a*
{
  "formula": "La2NdZn3",
  "functional": "PBE",
  "state": "relaxed",
  "lattice_angstrom": [[-4.0416, 2.5320, 2.2696], [3.0085, -3.2680, 2.8576], [3.9287, 4.9275, 1.4989]],
  "species": ["La", "La", "Zn", "Zn", "Zn", "Nd"],
  "frac_coords": [[0.3333, 0.6667, 0.6681], [0.6667, 0.3333, 0.3319], [0.3333, 0.6667, 0.1631], [0.6667, 0.3333, 0.8369], [0.0000, 0.0000, 0.5000], [0.0000, 0.0000, 0.0000]],
  "volume_a3_per_cell": 156.5,
  "space_group": "P-3m1 (164)"
}

***

*b*
{
  "formula": "La2NdZn3",
  "functional": "PBE",
  "state": "relaxed",
  "lattice_angstrom": [[-0.8014, 0.6242, 3.5979], [3.0992, -1.8317, 1.0082], [5.7916, 9.5935, -0.3744]],
  "species": ["Zn", "Zn", "Zn", "Nd", "La", "La"],
  "frac_coords": [[0.0000, 0.0000, 0.3405], [0.0000, 0.0000, 0.0000], [0.0000, 0.0000, 0.6595], [0.5000, 0.5000, 0.5000], [0.5000, 0.5000, 0.1692], [0.5000, 0.5000, 0.8308]],
  "volume_a3_per_cell": 156.7,
  "space_group": "P4/mmm (123)"
}

***

Which one is most stable, and which one is least stable? *a* is the most stable of them, while *b* is the least stable.

***

*a*
{
  "formula": "La2Nd3Zn2",
  "functional": "PBE",
  "state": "relaxed",
  "lattice_angstrom": [[3.7141, 0.0000, -0.4481], [0.0000, 3.7018, 0.0000], [-0.0346, 0.0000, 15.3282]],
  "species": ["Nd", "Nd", "Nd", "La", "La", "Zn", "Zn"],
  "frac_coords": [[0.5853, 0.5000, 0.1705], [0.0000, 0.0000, 0.0000], [0.4147, 0.5000, 0.8295], [0.2960, 0.5000, 0.5919], [0.7040, 0.5000, 0.4081], [0.1416, 0.0000, 0.2833], [0.8584, 0.0000, 0.7167]],
  "volume_a3_per_cell": 210.7,
  "space_group": "Cmmm (65)"
}

***

*b*
{
  "formula": "La2Nd3Zn2",
  "functional": "PBE",
  "state": "relaxed",
  "lattice_angstrom": [[4.8266, 0.0000, 0.0000], [-2.4133, 5.9937, -0.3315], [0.0000, -3.1815, 7.6483]],
  "species": ["Nd", "Nd", "Nd", "Zn", "Zn", "La", "La"],
  "frac_coords": [[0.3647, 0.7294, 0.5273], [0.5000, 0.0000, 0.0000], [0.6353, 0.2706, 0.4727], [0.8588, 0.7176, 0.8057], [0.1412, 0.2824, 0.1943], [0.1414, 0.2828, 0.8025], [0.8586, 0.7172, 0.1975]],
  "volume_a3_per_cell": 216.2,
  "space_group": "C2/m (12)"
}

***

Which one is most stable, and which one is least stable? *a* is the most stable of them, while *b* is the least stable.